No. 1
Compound: Ac5Zn2Bi
Source: Alexandria
Functional: PBE
Structure: relaxed

Cell: 9.4826 9.4826 9.4826 Å, 123.14 123.14 84.64°
Closest atoms and distances in Å follow each position.
Fractional positions:
Ac1 0.0000 0.0000 0.0000  4 Zn 3.48, 2 Bi 3.51
Ac2 0.0107 0.5107 0.8066  3 Zn 3.30-3.33
Ac3 0.2041 0.0107 0.5000  3 Zn 3.30-3.33
Ac4 0.2959 0.7959 0.8066  3 Zn 3.30-3.33
Ac5 0.4893 0.2959 0.5000  3 Zn 3.30-3.33
Ac6 0.5000 0.5000 0.0000  4 Zn 3.48, 2 Bi 3.51
Ac7 0.5107 0.7041 0.5000  3 Zn 3.30-3.33
Ac8 0.7041 0.2041 0.1934  3 Zn 3.30-3.33
Ac9 0.7959 0.9893 0.5000  3 Zn 3.30-3.33
Ac10 0.9893 0.4893 0.1934  3 Zn 3.30-3.33
Zn1 0.1414 0.3586 0.5000  8 Ac 3.30-3.48, 1 Zn 3.61
Zn2 0.3586 0.8586 0.2172  8 Ac 3.30-3.48, 1 Zn 3.61
Zn3 0.6414 0.1414 0.7828  8 Ac 3.30-3.48, 1 Zn 3.61
Zn4 0.8586 0.6414 0.5000  8 Ac 3.30-3.48, 1 Zn 3.61
Bi1 0.2500 0.2500 0.0000  10 Ac 3.51-3.74
Bi2 0.7500 0.7500 0.0000  10 Ac 3.51-3.74

Calculated values
ρ ... 8.57 g cm⁻³
Density of states at the Fermi level ... 16.12 states/eV/cell
Magnetization ... 0.000 μB/atom


No. 2
Compound: Ac2ZnBi
Source: Alexandria
Functional: PBE
Structure: relaxed

Cell: 5.5747 5.5747 4.3205 Å, 90.00 90.00 90.00°
Closest atoms and distances in Å follow each position.
Fractional positions:
Ac1 0.0000 0.5000 0.0000  4 Bi 3.53, 4 Zn 3.53, 4 Ac 3.94
Ac2 0.5000 0.0000 0.0000  4 Bi 3.53, 4 Zn 3.53, 4 Ac 3.94
Zn1 0.0000 0.0000 0.5000  8 Ac 3.53, 4 Bi 3.94
Bi1 0.5000 0.5000 0.5000  8 Ac 3.53, 4 Zn 3.94

Calculated values
Relative energy among the computed polymorphs ... 0 meV per atom
ρ ... 9.01 g cm⁻³
Density of states at the Fermi level ... 3.42 states/eV/cell
Magnetization ... 0.000 μB/atom


No. 3
Compound: AcZn2Bi
Source: Alexandria
Functional: PBE
Structure: relaxed

Cell: 4.7725 4.7725 4.8543 Å, 90.00 90.00 90.00°
Closest atoms and distances in Å follow each position.
Fractional positions:
Ac1 0.0000 0.0000 0.0000  4 Bi 3.37, 8 Zn 3.40
Zn1 0.0000 0.5000 0.5000  4 Zn 3.37, 4 Ac 3.40, 4 Bi 3.40
Zn2 0.5000 0.0000 0.5000  4 Zn 3.37, 4 Ac 3.40, 4 Bi 3.40
Bi1 0.5000 0.5000 0.0000  4 Ac 3.37, 8 Zn 3.40

Calculated values
ρ ... 8.51 g cm⁻³
Density of states at the Fermi level ... 1.88 states/eV/cell
Magnetization ... 0.000 μB/atom


Formation energy? In order: -0.35 -0.49 -0.28 eV per atom.